Here is a geometry-optimized SrY2Si structure from Alexandria via LeMat-Bulk. Energies are from PBEsol.

Cell: 6.666 10.967 3.415 Å, 90.00 117.60 90.00°
Space group C2/m (No. 12)
Asymmetric unit:
Sr  0.000  0.000  0.000 [2 per cell]
Y  0.250  0.250  0.500 [4 per cell]
Si  0.000  0.500  0.000 [2 per cell]

Calculated values
VASP energy in eV per atom: -5.209
E_form (uncorrected) in eV per formula unit: 0.4